An optimized crystal structure of Rb2HfPtC. Source: the Alexandria database, functional PBE.

Summary:
D(E_F)	4.36	states/eV per cell
E_tot	-19.226	eV/f.u.
crystal system	tetragonal
symmetry	P4/mmm, No. 123

a = 6.5676 Å, b = 4.9932 Å, c = 6.5676 Å
α = 90.00°, β = 90.00°, γ = 90.00°
With the nearest neighbours (Å) after each atom.
Atoms (fractional coordinates):
C: 0.5000 0.5000 0.5000  8 Rb 4.13
Hf: 0.0000 0.5000 0.0000  2 Pt 2.50
Rb: 0.0000 0.0000 0.5000  2 Pt 3.28
Rb: 0.5000 0.0000 0.0000  2 Pt 3.28
Pt: 0.0000 0.0000 0.0000  2 Hf 2.50